1.
Entry from the Alexandria database: a relaxed Pr6Tl2Co crystal (PBE-GGA).

Lattice parameters (Å, degrees): 7.4089 7.3847 12.6705 90.00 125.27 90.00
Space group P2_1/c (No. 14)
Unique sites:
Pr (0.1997, 0.0001, 0.2524)
Pr (0.2752, 0.2458, 0.5257)
Pr (0.2797, 0.7494, 0.0258)
Tl (0.2562, 0.5017, 0.2529)
Co (0.0000, 0.0000, 0.0000)

2.
Entry from the Alexandria database: a relaxed Pr7Tl2Co2 crystal (PBE-GGA).

Lattice parameters (Å, degrees): 3.7489 16.6845 10.4768 90.00 90.00 90.00
Space group Imm2 (No. 44)
Unique sites:
Pr (0.0000, 0.0000, 0.0000)
Pr (0.0000, 0.1352, 0.4332)
Pr (0.0000, 0.3173, 0.6271)
Pr (0.0000, 0.3484, 0.2856)
Tl (0.0000, 0.0000, 0.6706)
Tl (0.0000, 0.5000, 0.7625)
Co (0.0000, 0.2341, 0.9409)

3.
Entry from the Alexandria database: a relaxed Pr8TlCo2 crystal (PBE-GGA).

Lattice parameters (Å, degrees): 8.7163 13.9895 5.6179 90.00 104.13 90.00
Space group C2/m (No. 12)
Unique sites:
Pr (0.0000, 0.2475, 0.0000)
Pr (0.1032, 0.5000, 0.8032)
Pr (0.2077, 0.1279, 0.5609)
Tl (0.0000, 0.0000, 0.0000)
Co (0.0000, 0.2894, 0.5000)

4.
Entry from the Alexandria database: a relaxed Pr3TlCo crystal (PBE-GGA).

The energy relative to the lowest polymorph listed for this composition is 0 meV/atom.

Lattice parameters (Å, degrees): 8.8159 4.0079 9.0573 90.00 116.43 90.00
Space group P2_1/m (No. 11)
Unique sites:
Pr (0.0325, 0.2500, 0.2092)
Pr (0.3258, 0.2500, 0.8798)
Pr (0.3289, 0.7500, 0.5606)
Tl (0.3311, 0.7500, 0.1913)
Co (0.0401, 0.2500, 0.5589)

5.
Entry from the Alexandria database: a relaxed Pr3TlCo3 crystal (PBE-GGA).

Lattice parameters (Å, degrees): 10.1439 10.1439 3.8671 90.00 90.00 120.00
Space group P6_3/m (No. 176)
Unique sites:
Pr (0.0656, 0.6901, 0.2500)
Tl (0.3333, 0.6667, 0.7500)
Co (0.0237, 0.8735, 0.7500)

6.
Entry from the Alexandria database: a relaxed Pr3TlCo crystal (PBE-GGA).

The energy relative to the lowest polymorph listed for this composition is 56 meV/atom.

Lattice parameters (Å, degrees): 5.3256 5.3256 5.3256 90.00 90.00 90.00
Space group Pm-3m (No. 221)
Unique sites:
Pr (0.0000, 0.0000, 0.5000)
Tl (0.5000, 0.5000, 0.5000)
Co (0.0000, 0.0000, 0.0000)

What did we get for DOS at the Fermi energy? Answer: 1.124; 1.057; 1.259; 1.049; 1.546; 1.028 states/eV per atom, in the order shown.
What did we get for energy relative to the elements? Answer: -0.18; -0.14; -0.02; -0.16; -0.11; -0.11 eV/atom, in the order shown.
What did we get for raw total energy? Answer: -42.101; -53.899; -55.062; -24.616; -38.788; -24.336 eV per formula unit, in the order shown.